(1)
First-principles (GGA-PBE) data for a relaxed RbBaHfS4 crystal, as listed in Alexandria via LeMat-Bulk.

```
data_RbBaHfS4
_chemical_formula_sum 'Rb4 Ba4 Hf4 S16'
_symmetry_space_group_name_H-M 'C m c m'
_symmetry_Int_Tables_number 63
_symmetry_space_group_name_Hall '-C 2c 2'
_cell_length_a 7.077
_cell_length_b 16.059
_cell_length_c 7.138
_cell_angle_alpha 90.00
_cell_angle_beta 90.00
_cell_angle_gamma 90.00
loop_
_atom_site_label
_atom_site_type_symbol
_atom_site_fract_x
_atom_site_fract_y
_atom_site_fract_z
Rb1 Rb 0.000 0.101 0.250
Ba1 Ba 0.000 0.386 0.250
Hf1 Hf 0.000 0.261 0.750
S1 S 0.000 0.103 0.750
S2 S 0.000 0.415 0.750
S3 S 0.250 0.250 0.000
```

Results
- formation energy (no corrections) (eV/atom) = -1.47
- volume (Å³/f.u.) = 202.8
- N(E_F) (states/eV/atom) = 0.58



(2)
First-principles (GGA-PBE) data for a relaxed KCd3Sn crystal, as listed in Alexandria via LeMat-Bulk.

```
data_KCd3Sn
_chemical_formula_sum 'K1 Cd3 Sn1'
_symmetry_space_group_name_H-M 'P m -3 m'
_symmetry_Int_Tables_number 221
_symmetry_space_group_name_Hall '-P 4 2 3'
_cell_length_a 5.818
_cell_length_b 5.818
_cell_length_c 5.818
_cell_angle_alpha 90.00
_cell_angle_beta 90.00
_cell_angle_gamma 90.00
loop_
_atom_site_label
_atom_site_type_symbol
_atom_site_fract_x
_atom_site_fract_y
_atom_site_fract_z
K1 K 0.000 0.000 0.000
Cd1 Cd 0.000 0.500 0.500
Sn1 Sn 0.500 0.500 0.500
```

Results
- volume (Å³/f.u.) = 197.0
- N(E_F) (states/eV/atom) = 0.77
- relative energy among the computed polymorphs (meV per atom) = 229



(3)
First-principles (GGA-PBE) data for a relaxed K2ScF5 crystal, as listed in Alexandria via LeMat-Bulk.

```
data_K2ScF5
_chemical_formula_sum 'K8 Sc4 F20'
_symmetry_space_group_name_H-M 'P n m a'
_symmetry_Int_Tables_number 62
_cell_length_a 10.793
_cell_length_b 7.042
_cell_length_c 6.529
_cell_angle_alpha 90.00
_cell_angle_beta 90.00
_cell_angle_gamma 90.00
loop_
_symmetry_equiv_pos_as_xyz
'x,y,z'
'-x,-y,-z'
'-x+1/2,-y,z+1/2'
'x+1/2,y,-z+1/2'
'x+1/2,-y+1/2,-z+1/2'
'-x+1/2,y+1/2,z+1/2'
'-x,y+1/2,-z'
'x,-y+1/2,z'
loop_
_atom_site_label
_atom_site_type_symbol
_atom_site_fract_x
_atom_site_fract_y
_atom_site_fract_z
K1 K 0.169 0.004 0.047
Sc1 Sc 0.002 0.250 0.559
F1 F 0.019 0.250 0.873
F2 F 0.063 0.543 0.651
F3 F 0.164 0.250 0.400
F4 F 0.181 0.750 0.357
```

Results
- formation energy (no corrections) (eV/atom) = -3.41
- volume (Å³/f.u.) = 124.1
- N(E_F) (states/eV/atom) = 0.00
- relative energy among the computed polymorphs (meV per atom) = 0



(4)
First-principles (GGA-PBE) data for a relaxed Ba2GaAgIr crystal, as listed in Alexandria via LeMat-Bulk.

```
data_Ba2GaAgIr
_chemical_formula_sum 'Ba2 Ga1 Ag1 Ir1'
_symmetry_space_group_name_H-M 'P 4/m m m'
_symmetry_Int_Tables_number 123
_symmetry_space_group_name_Hall '-P 4 2'
_cell_length_a 6.073
_cell_length_b 6.073
_cell_length_c 4.817
_cell_angle_alpha 90.00
_cell_angle_beta 90.00
_cell_angle_gamma 90.00
loop_
_atom_site_label
_atom_site_type_symbol
_atom_site_fract_x
_atom_site_fract_y
_atom_site_fract_z
Ba1 Ba 0.000 0.500 0.000
Ga1 Ga 0.000 0.000 0.500
Ag1 Ag 0.500 0.500 0.500
Ir1 Ir 0.000 0.000 0.000
```

Results
- volume (Å³/f.u.) = 177.6
- total energy (Ry/atom) = -0.290
- N(E_F) (states/eV/atom) = 0.40



(5)
First-principles (GGA-PBE) data for a relaxed Rb2DyReO6 crystal, as listed in Alexandria via LeMat-Bulk.

```
data_Rb2DyReO6
_chemical_formula_sum 'Rb8 Dy4 Re4 O24'
_symmetry_space_group_name_H-M 'F m -3 m'
_symmetry_Int_Tables_number 225
_symmetry_space_group_name_Hall '-F 4 2 3'
_cell_length_a 8.420
_cell_length_b 8.420
_cell_length_c 8.420
_cell_angle_alpha 90.00
_cell_angle_beta 90.00
_cell_angle_gamma 90.00
loop_
_atom_site_label
_atom_site_type_symbol
_atom_site_fract_x
_atom_site_fract_y
_atom_site_fract_z
Rb1 Rb 0.250 0.250 0.250
Dy1 Dy 0.000 0.000 0.000
Re1 Re 0.000 0.000 0.500
O1 O 0.000 0.000 0.273
```

Results
- formation energy (no corrections) (eV/atom) = -2.20
- volume (Å³/f.u.) = 149.3



(6)
First-principles (GGA-PBE) data for a relaxed LiU3Tl3Se8 crystal, as listed in Alexandria via LeMat-Bulk.

```
data_LiU3Tl3Se8
_chemical_formula_sum 'Li3 U9 Tl9 Se24'
_symmetry_space_group_name_H-M 'R -3 m'
_symmetry_Int_Tables_number 166
_symmetry_space_group_name_Hall '-R 3 2"'
_cell_length_a 8.2347
_cell_length_b 8.2347
_cell_length_c 23.3914
_cell_angle_alpha 90.00
_cell_angle_beta 90.00
_cell_angle_gamma 120.00
loop_
_atom_site_label
_atom_site_type_symbol
_atom_site_fract_x
_atom_site_fract_y
_atom_site_fract_z
Li1 Li 0.0000 0.0000 0.0000
U1 U 0.0000 0.5000 0.0000
Tl1 Tl 0.0000 0.5000 0.5000
Se1 Se 0.0000 0.0000 0.2642
Se2 Se 0.0083 0.5042 0.2675
```

Results
- formation energy (no corrections) (eV/atom) = -0.94
- volume (Å³/f.u.) = 457.9
- N(E_F) (states/eV/atom) = 0.92



(7)
First-principles (GGA-PBE) data for a relaxed ScBeZnPt crystal, as listed in Alexandria via LeMat-Bulk.

```
data_ScBeZnPt
_chemical_formula_sum 'Sc4 Be4 Zn4 Pt4'
_symmetry_space_group_name_H-M 'F -4 3 m'
_symmetry_Int_Tables_number 216
_symmetry_space_group_name_Hall 'F -4 2 3'
_cell_length_a 6.117
_cell_length_b 6.117
_cell_length_c 6.117
_cell_angle_alpha 90.00
_cell_angle_beta 90.00
_cell_angle_gamma 90.00
loop_
_atom_site_label
_atom_site_type_symbol
_atom_site_fract_x
_atom_site_fract_y
_atom_site_fract_z
Sc1 Sc 0.000 0.000 0.000
Be1 Be 0.250 0.250 0.750
Zn1 Zn 0.250 0.250 0.250
Pt1 Pt 0.000 0.000 0.500
```

Results
- volume (Å³/f.u.) = 57.2
- total energy (Ry/atom) = -0.363
- N(E_F) (states/eV/atom) = 0.74



(8)
First-principles (GGA-PBE) data for a relaxed Ba2TcAs crystal, as listed in Alexandria via LeMat-Bulk.

```
data_Ba2TcAs
_chemical_formula_sum 'Ba4 Tc2 As2'
_symmetry_space_group_name_H-M 'I m m 2'
_symmetry_Int_Tables_number 44
_cell_length_a 4.260
_cell_length_b 4.826
_cell_length_c 13.681
_cell_angle_alpha 90.00
_cell_angle_beta 90.00
_cell_angle_gamma 90.00
loop_
_symmetry_equiv_pos_as_xyz
'x,y,z'
'-x,-y,z'
'-x,y,z'
'x,-y,z'
'x+1/2,y+1/2,z+1/2'
'-x+1/2,-y+1/2,z+1/2'
'-x+1/2,y+1/2,z+1/2'
'x+1/2,-y+1/2,z+1/2'
loop_
_atom_site_label
_atom_site_type_symbol
_atom_site_fract_x
_atom_site_fract_y
_atom_site_fract_z
Ba1 Ba 0.000 0.000 0.000
Ba2 Ba 0.000 0.500 0.243
Tc1 Tc 0.000 0.500 0.836
As1 As 0.000 0.000 0.420
```

Results
- volume (Å³/f.u.) = 140.6
- total energy (Ry/atom) = -0.351
- N(E_F) (states/eV/atom) = 0.94



(9)
First-principles (GGA-PBE) data for a relaxed RbErAg2I6 crystal, as listed in Alexandria via LeMat-Bulk.

```
data_RbErAg2I6
_chemical_formula_sum 'Rb4 Er4 Ag8 I24'
_symmetry_space_group_name_H-M 'C 1 2/c 1'
_symmetry_Int_Tables_number 15
_cell_length_a 16.564
_cell_length_b 14.192
_cell_length_c 9.003
_cell_angle_alpha 90.00
_cell_angle_beta 112.34
_cell_angle_gamma 90.00
loop_
_symmetry_equiv_pos_as_xyz
'x,y,z'
'-x,-y,-z'
'-x,y,-z+1/2'
'x,-y,z+1/2'
'x+1/2,y+1/2,z'
'-x+1/2,-y+1/2,-z'
'-x+1/2,y+1/2,-z+1/2'
'x+1/2,-y+1/2,z+1/2'
loop_
_atom_site_label
_atom_site_type_symbol
_atom_site_fract_x
_atom_site_fract_y
_atom_site_fract_z
Rb1 Rb 0.000 0.165 0.250
Er1 Er 0.000 0.177 0.750
Ag1 Ag 0.060 0.453 0.146
I1 I 0.117 0.064 0.664
I2 I 0.120 0.276 0.024
I3 I 0.128 0.414 0.483
```

Results
- formation energy (no corrections) (eV/atom) = -0.88
- volume (Å³/f.u.) = 489.4
- N(E_F) (states/eV/atom) = 0.00



(10)
First-principles (GGA-PBE) data for a relaxed LiRuRh crystal, as listed in Alexandria via LeMat-Bulk.

```
data_LiRuRh
_chemical_formula_sum 'Li1 Ru1 Rh1'
_symmetry_space_group_name_H-M 'P -6 m 2'
_symmetry_Int_Tables_number 187
_symmetry_space_group_name_Hall 'P -6 2'
_cell_length_a 4.3760
_cell_length_b 4.3760
_cell_length_c 2.5600
_cell_angle_alpha 90.00
_cell_angle_beta 90.00
_cell_angle_gamma 120.00
loop_
_atom_site_label
_atom_site_type_symbol
_atom_site_fract_x
_atom_site_fract_y
_atom_site_fract_z
Li1 Li 0.0000 0.0000 0.0000
Ru1 Ru 0.3333 0.6667 0.5000
Rh1 Rh 0.6667 0.3333 0.5000
```

Results
- volume (Å³/f.u.) = 42.5
- N(E_F) (states/eV/atom) = 0.85
- relative energy among the computed polymorphs (meV per atom) = 153



(11)
First-principles (GGA-PBE) data for a relaxed SrNi6Ge2 crystal, as listed in Alexandria via LeMat-Bulk.

```
data_SrNi6Ge2
_chemical_formula_sum 'Sr1 Ni6 Ge2'
_symmetry_space_group_name_H-M 'P 4/m m m'
_symmetry_Int_Tables_number 123
_symmetry_space_group_name_Hall '-P 4 2'
_cell_length_a 4.074
_cell_length_b 4.074
_cell_length_c 8.066
_cell_angle_alpha 90.00
_cell_angle_beta 90.00
_cell_angle_gamma 90.00
loop_
_atom_site_label
_atom_site_type_symbol
_atom_site_fract_x
_atom_site_fract_y
_atom_site_fract_z
Sr1 Sr 0.000 0.000 0.000
Ni1 Ni 0.000 0.000 0.500
Ni2 Ni 0.000 0.500 0.330
Ni3 Ni 0.500 0.500 0.500
Ge1 Ge 0.500 0.500 0.183
```

Results
- volume (Å³/f.u.) = 133.9
- N(E_F) (states/eV/atom) = 1.16
- relative energy among the computed polymorphs (meV per atom) = 0



(12)
First-principles (GGA-PBE) data for a relaxed Ni5Pd3 crystal, as listed in Alexandria via LeMat-Bulk.

```
data_Ni5Pd3
_chemical_formula_sum 'Ni5 Pd3'
_symmetry_space_group_name_H-M 'P 4/m m m'
_symmetry_Int_Tables_number 123
_symmetry_space_group_name_Hall '-P 4 2'
_cell_length_a 2.662
_cell_length_b 2.662
_cell_length_c 14.318
_cell_angle_alpha 90.00
_cell_angle_beta 90.00
_cell_angle_gamma 90.00
loop_
_atom_site_label
_atom_site_type_symbol
_atom_site_fract_x
_atom_site_fract_y
_atom_site_fract_z
Ni1 Ni 0.000 0.000 0.000
Ni2 Ni 0.000 0.000 0.223
Ni3 Ni 0.500 0.500 0.112
Pd1 Pd 0.000 0.000 0.500
Pd2 Pd 0.500 0.500 0.352
```

Results
- volume (Å³/f.u.) = 101.5
- total energy (Ry/atom) = -0.406
- N(E_F) (states/eV/atom) = 1.78